A relaxed CaMoBr crystal, computed with PBE.

The structure in CIF format:
```
data_CaMoBr
_chemical_formula_sum 'Ca1 Mo1 Br1'
_space_group_name_H-M_alt 'P 1'
_space_group_IT_number 1
_cell_length_a 3.436
_cell_length_b 3.436
_cell_length_c 6.722
_cell_angle_alpha 90.00
_cell_angle_beta 90.00
_cell_angle_gamma 120.00
loop_
_space_group_symop_operation_xyz
'x,y,z'
loop_
_atom_site_label
_atom_site_type_symbol
_atom_site_fract_x
_atom_site_fract_y
_atom_site_fract_z
Mo1 Mo 0.333 0.667 0.691
Ca1 Ca 0.667 0.333 0.340
Br1 Br 0.000 0.000 0.968
```

Computed properties:
As for the raw formation energy: 1.140 eV/f.u. The calculation puts the electronic total energy at -4.455 eV/atom. The excess energy over the best structure of this formula in the dataset comes out at 0.6 meV per atom.